This record from Alexandria via LeMat-Bulk describes crystalline Ce3PmTm2Se6 at its relaxed geometry. The functional is PBE-GGA.

a = 7.1280 Å, b = 12.3557 Å, c = 7.2463 Å
α = 90.00°, β = 109.17°, γ = 90.00°
Space group C2/m (No. 12)
Inequivalent atoms, fractional coordinates:
Ce 0.0000 0.0000 0.0000
Ce 0.0000 0.3382 0.0000
Pm 0.0000 0.5000 0.5000
Tm 0.0000 0.1674 0.5000
Se 0.2345 0.0000 0.7343
Se 0.2485 0.1716 0.2606


This record from Alexandria via LeMat-Bulk describes crystalline In2TcSbP at its relaxed geometry. The functional is PBE-GGA.

a = 5.2190 Å, b = 5.2190 Å, c = 4.4571 Å
α = 90.00°, β = 90.00°, γ = 90.00°
Space group P4/mmm (No. 123)
Inequivalent atoms, fractional coordinates:
In 0.0000 0.5000 0.0000
Tc 0.0000 0.0000 0.5000
Sb 0.5000 0.5000 0.5000
P 0.0000 0.0000 0.0000


Number 1: raw formation energy -1.782 eV/atom. Number 2: raw formation energy 0.552 eV/atom.